Entry 1:
The following is a DFT calculation (PBE) of a relaxed structure of ZnCuS2.

Results
Its formation energy (no corrections) is -0.445 eV per atom. The calculation puts the total energy at -3.8517 eV/atom. The symmetry is C2, No. 5.

a b c (Å): 3.730 3.730 5.448
angles (deg): 90.02 90.01 90.00
Fractional coordinates of all 4 atoms:
S  0.267  0.796  0.936
S  0.767  0.296  0.453
Cu  0.766  0.797  0.695
Zn  0.268  0.295  0.195

Entry 2:
The following is a DFT calculation (PBE) of a relaxed structure of Cs3Cu2Cl7.

Results
Its formation energy (no corrections) is -1.242 eV per atom. Its polymorph energy (0 for the lowest one) is 0.0 kJ per mole of atoms. The calculation puts the total energy at -3.2154 eV/atom. The symmetry is I4/mmm, No. 139.

a b c (Å): 5.075 5.075 13.693
angles (deg): 100.68 100.68 90.00
Fractional coordinates of all 12 atoms:
Cl  0.182  0.182  0.364
Cl  0.409  0.909  0.818
Cl  0.091  0.591  0.182
Cl  0.000  0.000  0.000
Cl  0.591  0.091  0.182
Cl  0.909  0.409  0.818
Cl  0.818  0.818  0.636
Cu  0.908  0.908  0.816
Cu  0.092  0.092  0.184
Cs  0.318  0.318  0.637
Cs  0.500  0.500  0.000
Cs  0.682  0.682  0.363